# Tb3Nd2In2 GGA-PBE optimized geometry
# D(E_F) in states/eV/atom: 1.168
# SG: C2/m
# Mass density in kg/m3: 8003
# Energy of formation from the pure elements in eV per formula unit: -1.88
# Crystal system: monoclinic
data_Tb3Nd2In2
_chemical_formula_sum 'Tb3 Nd2 In2'
_space_group_name_H-M_alt 'P 1'
_space_group_IT_number 1
_cell_length_a 4.595
_cell_length_b 8.001
_cell_length_c 17.644
_cell_angle_alpha 159.89
_cell_angle_beta 97.48
_cell_angle_gamma 90.00
loop_
_space_group_symop_operation_xyz
'x,y,z'
loop_
_atom_site_label
_atom_site_fract_x
_atom_site_fract_y
_atom_site_fract_z
Tb1 0.730 0.569 0.460
Tb2 0.270 0.431 0.540
Tb3 0.000 0.500 0.000
In1 0.575 0.527 0.149
In2 0.425 0.473 0.851
Nd1 0.134 0.465 0.268
Nd2 0.866 0.535 0.732